Record 1
Computed, not measured: a relaxed RbGaTe2 crystal at the PBEsol level of DFT.

Unit cell a=7.258 b=7.258 c=7.258 alpha=103.24 beta=112.67 gamma=112.67
Sites, in units of the cell vectors:
Te 0.906 0.531 0.125
Te 0.094 0.219 0.625
Te 0.594 0.375 0.469
Te 0.406 0.875 0.781
Ga 0.000 0.500 0.500
Ga 0.500 0.250 0.750
Rb 0.000 0.000 0.000
Rb 0.500 0.750 0.250

Its space group is I-42d, No. 122. As for the total energy: -3.489 eV per atom.

Record 2
Computed, not measured: a relaxed BaLa3Ir crystal at the PBEsol level of DFT.

Unit cell a=7.010 b=10.114 c=10.641 alpha=100.97 beta=90.00 gamma=90.00
Sites, in units of the cell vectors:
Ir 0.757 0.075 0.930
Ir 0.243 0.925 0.070
Ir 0.257 0.925 0.570
Ir 0.743 0.075 0.430
Ba 0.425 0.426 0.314
Ba 0.575 0.574 0.686
Ba 0.925 0.574 0.186
Ba 0.075 0.426 0.814
La 0.089 0.946 0.326
La 0.911 0.054 0.674
La 0.589 0.054 0.174
La 0.411 0.946 0.826
La 0.076 0.182 0.072
La 0.924 0.818 0.928
La 0.576 0.818 0.428
La 0.424 0.182 0.572
La 0.426 0.684 0.053
La 0.574 0.316 0.947
La 0.926 0.316 0.447
La 0.074 0.684 0.553

As for the energy of formation: -0.259 eV/atom. The energy relative to the lowest polymorph listed for this composition is 0.00 eV/f.u. Its space group is P2_1/c, No. 14. As for the total energy: -5.862 eV per atom.

Record 3
Computed, not measured: a relaxed MgCdHg2 crystal at the PBEsol level of DFT.

Unit cell a=4.034 b=4.571 c=4.571 alpha=90.00 beta=90.00 gamma=90.00
Sites, in units of the cell vectors:
Mg 0.500 0.500 0.000
Hg 0.000 0.000 0.000
Hg 0.000 0.500 0.500
Cd 0.500 0.000 0.500

As for the energy of formation: -0.154 eV/atom. Its space group is P4/mmm, No. 123. As for the total energy: -1.166 eV per atom.